This record from Alexandria via LeMat-Bulk describes an optimized crystal structure of VTcHg2As. The functional is PBE-GGA.

Density of states at the Fermi level: 4.8 states/eV per cell
Calculated volume: 24.76 Å³/atom
ΔE_f: 5.6 eV/f.u.
Energy: -3.833 eV/atom
Crystal system: tetragonal

Lattice parameters (Å, degrees): 5.178 4.617 5.178 90.00 90.00 90.00
Fractional coordinates of all 5 atoms:
As  0.000  0.500  0.000
V  0.000  0.000  0.000
Hg  0.000  0.000  0.500
Hg  0.500  0.000  0.000
Tc  0.500  0.500  0.500

This record from Alexandria via LeMat-Bulk describes an optimized crystal structure of YTcHg2As. The functional is PBE-GGA.

Density of states at the Fermi level: 4.6 states/eV per cell
Calculated volume: 28.20 Å³/atom
ΔE_f: 3.1 eV/f.u.
Energy: -3.797 eV/atom
Crystal system: tetragonal

Lattice parameters (Å, degrees): 5.243 5.129 5.243 90.00 90.00 90.00
Fractional coordinates of all 5 atoms:
Y  0.000  0.500  0.000
As  0.500  0.500  0.500
Hg  0.000  0.000  0.500
Hg  0.500  0.000  0.000
Tc  0.000  0.000  0.000

This record from Alexandria via LeMat-Bulk describes an optimized crystal structure of ZrTc2HgAs. The functional is PBE-GGA.

Density of states at the Fermi level: 4.7 states/eV per cell
Calculated volume: 20.85 Å³/atom
ΔE_f: 3.2 eV/f.u.
Energy: -6.197 eV/atom
Crystal system: tetragonal

Lattice parameters (Å, degrees): 4.586 4.957 4.586 90.00 90.00 90.00
Fractional coordinates of all 5 atoms:
As  0.000  0.000  0.000
Hg  0.500  0.500  0.500
Zr  0.000  0.500  0.000
Tc  0.000  0.000  0.500
Tc  0.500  0.000  0.000

This record from Alexandria via LeMat-Bulk describes an optimized crystal structure of HgTe2As. The functional is PBE-GGA.

Density of states at the Fermi level: 1.5 states/eV per cell
Formation energy (no corrections): 0.041 eV/atom
Calculated volume: 28.98 Å³/atom
Distance to the lowest polymorph of the same formula: 1.002 kcal/mol of atoms
Energy: -2.768 eV/atom
Crystal system: monoclinic

Lattice parameters (Å, degrees): 4.231 3.100 9.469 111.04 90.00 90.00
Fractional coordinates of all 4 atoms:
As  0.500  0.250  0.250
Te  0.000  0.006  0.022
Te  0.000  0.494  0.478
Hg  0.500  0.750  0.750

This record from Alexandria via LeMat-Bulk describes an optimized crystal structure of HgTeAs. The functional is PBE-GGA.

Density of states at the Fermi level: 1.6 states/eV per cell
Formation energy (no corrections): 0.137 eV/atom
Calculated volume: 26.44 Å³/atom
Distance to the lowest polymorph of the same formula: 0.000 kcal/mol of atoms
Energy: -2.561 eV/atom
Crystal system: trigonal

Lattice parameters (Å, degrees): 4.028 4.028 5.646 90.00 90.00 120.00
Fractional coordinates of all 3 atoms:
As  0.000  0.000  0.997
Te  0.333  0.667  0.693
Hg  0.667  0.333  0.310

This record from Alexandria via LeMat-Bulk describes an optimized crystal structure of Hg2TeAs. The functional is PBE-GGA.

Density of states at the Fermi level: 2.9 states/eV per cell
Formation energy (no corrections): 0.338 eV/atom
Calculated volume: 25.75 Å³/atom
Distance to the lowest polymorph of the same formula: 5.990 kcal/mol of atoms
Energy: -1.761 eV/atom
Crystal system: trigonal

Lattice parameters (Å, degrees): 12.075 12.075 12.075 15.02 15.02 15.02
Fractional coordinates of all 4 atoms:
As  0.750  0.750  0.750
Te  0.250  0.250  0.250
Hg  0.010  0.010  0.010
Hg  0.490  0.490  0.490

This record from Alexandria via LeMat-Bulk describes an optimized crystal structure of Hg2TeAs. The functional is PBE-GGA.

Density of states at the Fermi level: 1.1 states/eV per cell
Formation energy (no corrections): 0.213 eV/atom
Calculated volume: 29.05 Å³/atom
Distance to the lowest polymorph of the same formula: 3.110 kcal/mol of atoms
Energy: -1.885 eV/atom
Crystal system: orthorhombic

Lattice parameters (Å, degrees): 7.385 7.385 2.974 89.98 89.98 134.25
Fractional coordinates of all 4 atoms:
As  0.000  0.500  0.500
Te  0.500  0.000  0.500
Hg  0.000  0.000  0.000
Hg  0.500  0.500  0.000

This record from Alexandria via LeMat-Bulk describes an optimized crystal structure of HgTe2As. The functional is PBE-GGA.

Density of states at the Fermi level: 2.1 states/eV per cell
Formation energy (no corrections): 0.291 eV/atom
Calculated volume: 26.77 Å³/atom
Distance to the lowest polymorph of the same formula: 6.770 kcal/mol of atoms
Energy: -2.518 eV/atom
Crystal system: orthorhombic

Lattice parameters (Å, degrees): 3.401 3.401 9.877 90.00 90.00 110.40
Fractional coordinates of all 4 atoms:
As  0.000  0.000  0.501
Te  0.000  0.000  0.979
Te  0.500  0.500  0.294
Hg  0.500  0.500  0.726